LaDyFe | PBE | relaxed

extended XYZ file:
```
12
Lattice="7.097 0.000 0.000 -3.548 6.120 0.000 0.000 0.000 7.352" Properties=species:S:1:pos:R:3 pbc="T T T"
La 0.000 3.674 0.840
La 3.548 3.674 2.836
La 3.548 2.447 6.512
La 0.000 2.447 4.517
Fe 0.000 1.111 7.051
Fe 0.000 5.010 3.375
Fe 3.548 1.111 3.978
Fe 3.548 5.010 0.301
Dy 1.774 5.656 5.514
Dy 5.322 0.464 1.838
Dy 1.774 0.464 1.838
Dy -1.774 5.656 5.514
```

Summary:
formation enthalpy at 0 K: 0.18 eV per formula unit
excess energy over the best structure of this formula in the dataset: 0.000 eV per formula unit


LiDyFe | PBE | relaxed

extended XYZ file:
```
6
Lattice="-0.412 3.862 0.311 -3.510 1.533 0.713 1.782 -0.619 10.122" Properties=species:S:1:pos:R:3 pbc="T T T"
Fe -3.161 3.742 3.915
Fe -0.987 4.017 3.386
Dy -1.552 1.839 5.290
Dy -2.185 2.060 1.699
Li -2.424 3.487 8.114
Li 0.054 3.658 9.311
```

Summary:
formation enthalpy at 0 K: 0.10 eV per formula unit
excess energy over the best structure of this formula in the dataset: 0.000 eV per formula unit


LiDy6Fe2 | PBE | relaxed

extended XYZ file:
```
18
Lattice="-3.483 7.286 2.251 1.855 0.048 -8.176 -5.289 -6.375 1.288" Properties=species:S:1:pos:R:3 pbc="T T T"
Dy -2.791 5.388 -3.557
Dy -4.051 3.116 1.916
Dy -4.127 -4.429 -1.080
Dy -1.552 0.265 -3.917
Dy -2.103 2.285 -1.051
Dy -2.413 5.695 -0.012
Dy -4.327 2.169 -3.851
Dy -4.505 -4.737 -4.625
Dy -2.867 -2.157 -6.553
Dy -4.815 -1.327 -3.586
Dy -2.590 -1.211 -0.787
Dy -5.365 0.694 -0.720
Fe -5.733 -2.025 -0.931
Fe -5.408 0.561 2.181
Fe -1.185 2.983 -3.707
Fe -3.364 0.349 1.357
Li 0.000 0.000 0.000
Li -1.717 -3.164 -3.444
```

Summary:
formation enthalpy at 0 K: -0.03 eV per formula unit


LiDy2Fe | PBE | relaxed

extended XYZ file:
```
4
Lattice="-3.141 1.131 -1.003 -2.776 -0.528 2.040 -0.264 9.030 4.955" Properties=species:S:1:pos:R:3 pbc="T T T"
Dy -5.368 3.440 2.518
Dy -0.813 6.193 3.474
Fe -3.091 4.816 2.996
Li 0.000 0.000 0.000
```

Summary:
formation enthalpy at 0 K: 1.20 eV per formula unit


LiDyFe | PBE | relaxed

extended XYZ file:
```
6
Lattice="-3.139 0.029 2.210 -2.901 -0.344 -4.116 2.370 -6.185 0.114" Properties=species:S:1:pos:R:3 pbc="T T T"
Fe -1.416 -3.268 1.367
Fe -2.254 -3.233 -3.158
Li -3.801 -1.299 -2.046
Li 0.131 -5.201 0.255
Dy -2.868 -4.698 -0.676
Dy -0.802 -1.803 -1.115
```

Summary:
formation enthalpy at 0 K: 0.47 eV per formula unit
excess energy over the best structure of this formula in the dataset: 0.374 eV per formula unit


LiDy2Fe | PBE | relaxed

extended XYZ file:
```
4
Lattice="-1.236 3.100 -0.249 -2.321 -1.098 -2.146 -5.003 -1.499 6.176" Properties=species:S:1:pos:R:3 pbc="T T T"
Dy -0.990 -0.297 1.222
Dy -4.013 -1.203 4.954
Li -4.280 0.251 1.890
Fe -1.779 1.001 -1.198
```

Summary:
formation enthalpy at 0 K: 0.21 eV per formula unit


Li3Dy12Fe5 | PBE | relaxed

extended XYZ file:
```
80
Lattice="14.333 0.000 0.000 -4.778 13.513 0.000 -4.778 -6.757 11.703" Properties=species:S:1:pos:R:3 pbc="T T T"
Dy -1.516 -0.012 9.589
Dy -1.174 4.813 10.472
Dy 1.516 -1.837 10.656
Dy 8.340 -4.813 10.472
Dy 5.993 -1.341 6.919
Dy 3.262 4.932 1.068
Dy -0.873 8.581 1.068
Dy 9.707 -2.881 7.082
Dy 10.770 3.284 3.553
Dy 1.895 4.812 7.965
Dy 1.516 1.825 10.635
Dy 4.626 2.561 6.898
Dy 5.651 -1.825 10.635
Dy 10.428 6.744 2.114
Dy -0.494 1.114 2.298
Dy 7.318 3.876 4.621
Dy -0.873 4.920 1.046
Dy -1.174 -3.472 8.150
Dy 3.262 8.594 1.046
Dy -4.929 9.637 4.621
Dy 5.271 5.642 9.404
Dy -2.540 2.881 7.082
Dy 9.404 1.315 0.184
Dy -1.215 8.097 4.784
Dy 4.284 -1.945 3.737
Dy -1.895 -0.831 5.667
Dy 1.174 1.341 6.919
Dy 2.540 -2.561 6.898
Dy -2.882 7.871 9.404
Dy -4.626 5.442 11.518
Dy 6.293 6.769 2.114
Dy -2.540 -5.442 11.518
Dy 2.882 1.945 3.737
Dy 7.660 -1.114 2.298
Dy 7.318 12.199 0.184
Dy 5.951 10.229 3.553
Dy 5.651 1.837 10.656
Dy 2.237 9.318 4.805
Dy -5.651 0.012 9.589
Dy 6.673 7.587 6.036
Dy -5.993 3.472 8.150
Dy 3.604 5.416 4.784
Dy 5.951 1.943 1.231
Dy 0.494 8.702 7.965
Dy -4.284 5.926 6.036
Dy 0.152 4.195 4.805
Dy -3.563 11.570 1.231
Dy 9.062 0.831 5.667
Fe 3.583 10.135 2.926
Fe 3.583 2.534 1.463
Fe 2.389 3.378 5.851
Fe -1.194 10.979 1.463
Fe 4.778 6.757 0.000
Fe -1.194 3.378 2.926
Fe 4.778 -3.378 5.851
Fe 7.166 0.000 0.000
Fe -1.194 0.845 7.314
Fe 5.972 -4.223 10.240
Fe 8.361 -0.845 7.314
Fe -4.778 3.378 5.851
Fe -3.583 7.601 4.389
Fe 5.972 3.378 8.777
Fe -2.389 -3.378 5.851
Fe -2.389 6.757 0.000
Fe 1.194 -3.378 8.777
Fe 0.000 0.000 0.000
Fe 5.972 5.912 4.389
Fe 1.194 4.223 10.240
Li 1.194 6.757 2.926
Li 1.194 -0.845 4.389
Li 8.361 4.223 1.463
Li 5.972 0.845 4.389
Li -3.583 -2.534 10.240
Li -5.972 6.757 8.777
Li -1.194 5.912 7.314
Li 10.750 0.000 2.926
Li -3.583 2.534 10.240
Li 8.361 9.290 1.463
Li 3.583 0.000 8.777
Li 3.583 7.601 7.314
```

Summary:
formation enthalpy at 0 K: 9.73 eV per formula unit


LiDyLuFe | PBE | relaxed

extended XYZ file:
```
4
Lattice="-1.496 -1.170 -4.397 3.186 -0.684 -3.511 0.779 -4.409 -1.701" Properties=species:S:1:pos:R:3 pbc="T T T"
Li 0.000 0.000 0.000
Lu 0.617 -1.566 -2.402
Dy 1.852 -4.697 -7.207
Fe 1.234 -3.131 -4.805
```

Summary:
formation enthalpy at 0 K: 0.24 eV per formula unit


LiNdDyFe | PBE | relaxed

extended XYZ file:
```
4
Lattice="-4.608 1.803 0.211 -2.504 -0.098 4.272 -0.900 4.215 2.440" Properties=species:S:1:pos:R:3 pbc="T T T"
Li 0.000 0.000 0.000
Nd -6.009 4.441 5.192
Dy -2.003 1.480 1.731
Fe -4.006 2.960 3.462
```

Summary:
formation enthalpy at 0 K: 0.55 eV per formula unit


LiPmDyFe | PBE | relaxed

extended XYZ file:
```
4
Lattice="4.907 0.000 0.000 2.454 4.250 0.000 2.454 1.417 4.007" Properties=species:S:1:pos:R:3 pbc="T T T"
Li 4.907 2.833 2.003
Pm 7.361 4.250 3.005
Dy 2.454 1.417 1.002
Fe 0.000 0.000 0.000
```

Summary:
formation enthalpy at 0 K: 0.51 eV per formula unit


LiPrDyFe | PBE | relaxed

extended XYZ file:
```
4
Lattice="4.980 0.000 0.000 2.490 4.313 0.000 2.490 1.438 4.066" Properties=species:S:1:pos:R:3 pbc="T T T"
Fe 4.980 2.875 2.033
Dy 7.470 4.313 3.050
Li 0.000 0.000 0.000
Pr 2.490 1.438 1.017
```

Summary:
formation enthalpy at 0 K: 0.60 eV per formula unit


LiTbDyFe | PBE | relaxed

extended XYZ file:
```
4
Lattice="4.852 0.000 0.000 2.426 4.202 0.000 2.426 1.401 3.962" Properties=species:S:1:pos:R:3 pbc="T T T"
Li 0.000 0.000 0.000
Fe 4.852 2.801 1.981
Dy 2.426 1.401 0.990
Tb 7.278 4.202 2.971
```

Summary:
formation enthalpy at 0 K: 0.36 eV per formula unit


LiDyThFe | PBE | relaxed

extended XYZ file:
```
4
Lattice="4.923 0.000 0.000 2.462 4.264 0.000 2.462 1.421 4.020" Properties=species:S:1:pos:R:3 pbc="T T T"
Fe 4.923 2.842 2.010
Dy 7.385 4.264 3.015
Th 2.462 1.421 1.005
Li 0.000 0.000 0.000
```

Summary:
formation enthalpy at 0 K: 0.39 eV per formula unit


LiDyTmFe | PBE | relaxed

extended XYZ file:
```
4
Lattice="4.808 0.000 0.000 2.404 4.164 0.000 2.404 1.388 3.925" Properties=species:S:1:pos:R:3 pbc="T T T"
Dy 7.212 4.164 2.944
Li 0.000 0.000 0.000
Tm 2.404 1.388 0.981
Fe 4.808 2.776 1.963
```

Summary:
formation enthalpy at 0 K: 0.27 eV per formula unit


LiDyZrFe | PBE | relaxed

extended XYZ file:
```
4
Lattice="-2.509 3.437 -1.978 -4.650 -0.449 -0.450 -2.875 2.617 2.628" Properties=species:S:1:pos:R:3 pbc="T T T"
Dy -7.525 4.204 0.149
Li 0.000 0.000 0.000
Fe -5.017 2.803 0.099
Zr -2.508 1.401 0.050
```

Summary:
formation enthalpy at 0 K: 0.24 eV per formula unit


Dy3LuFe | PBE | relaxed

extended XYZ file:
```
5
Lattice="5.239 0.000 0.000 0.000 5.239 0.000 0.000 0.000 5.239" Properties=species:S:1:pos:R:3 pbc="T T T"
Dy 2.619 0.000 0.000
Dy 0.000 2.619 0.000
Dy 0.000 0.000 2.619
Lu 2.619 2.619 2.619
Fe 0.000 0.000 0.000
```

Summary:
formation enthalpy at 0 K: 0.67 eV per formula unit


DyLuFe | PBE | relaxed

extended XYZ file:
```
3
Lattice="-2.291 -2.326 0.389 2.274 -2.035 1.225 -1.190 4.331 4.991" Properties=species:S:1:pos:R:3 pbc="T T T"
Fe -0.413 -1.454 2.765
Dy -0.094 0.169 0.457
Lu -0.699 1.255 3.383
```

Summary:
formation enthalpy at 0 K: 0.02 eV per formula unit


DyLuFePd | PBE | relaxed

extended XYZ file:
```
4
Lattice="4.781 0.000 0.000 2.390 4.140 0.000 2.390 1.380 3.903" Properties=species:S:1:pos:R:3 pbc="T T T"
Lu 7.171 4.140 2.928
Pd 0.000 0.000 0.000
Fe 4.781 2.760 1.952
Dy 2.390 1.380 0.976
```

Summary:
formation enthalpy at 0 K: -1.42 eV per formula unit


DyLuFeRu | PBE | relaxed

extended XYZ file:
```
4
Lattice="-4.519 -0.178 -1.439 -2.804 -3.556 1.420 -3.508 0.831 3.087" Properties=species:S:1:pos:R:3 pbc="T T T"
Fe -2.708 -0.726 0.767
Ru -8.123 -2.178 2.302
Dy -5.415 -1.452 1.534
Lu 0.000 0.000 0.000
```

Summary:
formation enthalpy at 0 K: -0.47 eV per formula unit


DyLuZnFe | PBE | relaxed

extended XYZ file:
```
4
Lattice="4.839 0.000 0.000 2.420 4.191 0.000 2.420 1.397 3.951" Properties=species:S:1:pos:R:3 pbc="T T T"
Fe 4.839 2.794 1.976
Dy 7.259 4.191 2.963
Lu 2.420 1.397 0.988
Zn 0.000 0.000 0.000
```

Summary:
formation enthalpy at 0 K: -0.39 eV per formula unit


Dy2MgFe | PBE | relaxed

extended XYZ file:
```
4
Lattice="5.050 0.000 0.000 2.525 4.373 0.000 2.525 1.458 4.123" Properties=species:S:1:pos:R:3 pbc="T T T"
Dy 2.525 1.458 1.031
Dy 7.575 4.373 3.092
Mg 5.050 2.916 2.062
Fe 0.000 0.000 0.000
```

Summary:
formation enthalpy at 0 K: 0.49 eV per formula unit
excess energy over the best structure of this formula in the dataset: 0.506 eV per formula unit


Dy2MgFe | PBE | relaxed

extended XYZ file:
```
4
Lattice="-1.709 -1.522 2.415 2.628 -1.938 0.638 2.814 5.640 5.546" Properties=species:S:1:pos:R:3 pbc="T T T"
Mg 1.866 1.089 4.299
Dy 2.271 4.553 4.477
Dy 0.542 1.087 1.069
Fe 0.460 -1.730 1.526
```

Summary:
formation enthalpy at 0 K: -0.01 eV per formula unit
excess energy over the best structure of this formula in the dataset: 0.000 eV per formula unit


Dy3MgFe | PBE | relaxed

extended XYZ file:
```
5
Lattice="5.189 0.000 0.000 0.000 5.189 0.000 0.000 0.000 5.189" Properties=species:S:1:pos:R:3 pbc="T T T"
Dy 0.000 0.000 2.595
Dy 2.595 0.000 0.000
Dy 0.000 2.595 0.000
Fe 0.000 0.000 0.000
Mg 2.595 2.595 2.595
```

Summary:
formation enthalpy at 0 K: 0.35 eV per formula unit
excess energy over the best structure of this formula in the dataset: 0.377 eV per formula unit


DyMg2Fe9 | PBE | relaxed

extended XYZ file:
```
12
Lattice="4.757 0.000 1.416 2.168 4.235 1.416 0.096 0.059 8.377" Properties=species:S:1:pos:R:3 pbc="T T T"
Fe 3.511 2.147 5.604
Fe 3.982 3.900 4.022
Fe 5.286 1.767 4.022
Fe 1.736 2.526 7.187
Fe 4.615 2.822 1.895
Fe 2.890 1.767 3.309
Fe 4.132 2.526 7.900
Fe 3.040 0.394 7.187
Fe 2.407 1.472 9.314
Mg 1.049 0.642 5.175
Mg 5.972 3.652 6.034
Dy 0.000 0.000 0.000
```

Summary:
formation enthalpy at 0 K: 0.26 eV per formula unit